Crystalline Ce6WN12 at its relaxed geometry, computed with PBE-GGA.

abc: 6.622 6.622 6.622
angles: 98.27 98.27 98.27
Positions (direct):
Ce: 0.106 0.640 0.793
Ce: 0.207 0.894 0.360
Ce: 0.360 0.207 0.894
Ce: 0.640 0.793 0.106
Ce: 0.793 0.106 0.640
Ce: 0.894 0.360 0.207
W: 0.500 0.500 0.500
N: 0.054 0.325 0.900
N: 0.100 0.946 0.675
N: 0.201 0.543 0.435
N: 0.325 0.900 0.054
N: 0.435 0.201 0.543
N: 0.457 0.565 0.799
N: 0.543 0.435 0.201
N: 0.565 0.799 0.457
N: 0.675 0.100 0.946
N: 0.799 0.457 0.565
N: 0.900 0.054 0.325
N: 0.946 0.675 0.100

Computed properties:
Size of the total moment = 4.4 μB per formula unit
Theoretical density = 7.063 g/cm3
DFT total energy = -8.531 eV/atom